# 1
Mo2RuSe | PBE-GGA | optimized geometry

Properties
* space-group type: No. 8
* uncorrected energy: -8.4517 eV per atom
* total magnetic moment: 0.0 μB per formula unit
* V: 15.47 Å³ per atom
* E_form (uncorrected): 154 meV/atom

Unit cell a=4.819 b=4.819 c=4.691 alpha=104.49 beta=104.49 gamma=36.06
Positions (direct):
1 Mo 0.000 0.000 0.000
2 Mo 0.221 0.221 0.607
3 Ru 0.482 0.482 0.479
4 Se 0.736 0.736 0.126

---

# 2
Mo2RuSe | PBE-GGA | optimized geometry

Properties
* space-group type: No. 6
* uncorrected energy: -8.4249 eV per atom
* total magnetic moment: 0.0 μB per formula unit
* V: 15.39 Å³ per atom
* E_form (uncorrected): 181 meV/atom

Unit cell a=2.906 b=4.104 c=5.348 alpha=90.00 beta=105.14 gamma=90.00
Positions (direct):
1 Mo 0.000 0.000 0.000
2 Mo 0.340 0.500 0.724
3 Ru 0.619 0.500 0.242
4 Se 0.745 0.000 0.512

---

# 3
MoRuSe2 | PBE-GGA | optimized geometry

Properties
* space-group type: No. 25
* uncorrected energy: -6.8154 eV per atom
* total magnetic moment: 0.0 μB per formula unit
* relative energy among the computed polymorphs: 0.122 eV per atom
* V: 19.95 Å³ per atom
* E_form (uncorrected): -46 meV/atom

Unit cell a=3.105 b=3.814 c=6.736 alpha=90.00 beta=90.00 gamma=90.00
Positions (direct):
1 Mo 0.000 0.000 0.000
2 Ru 0.500 0.500 0.192
3 Se 0.000 0.000 0.358
4 Se 0.500 0.500 0.833

---

# 4
MoRu2Se | PBE-GGA | optimized geometry

Properties
* space-group type: No. 65
* uncorrected energy: -7.8659 eV per atom
* total magnetic moment: 0.0 μB per formula unit
* V: 15.10 Å³ per atom
* E_form (uncorrected): 351 meV/atom

Unit cell a=4.586 b=4.586 c=2.925 alpha=90.00 beta=90.00 gamma=100.88
Positions (direct):
1 Mo 0.000 0.000 0.000
2 Ru 0.000 0.500 0.500
3 Ru 0.500 0.000 0.500
4 Se 0.500 0.500 0.000

---

# 5
Mo2RuSe | PBE-GGA | optimized geometry

Properties
* space-group type: No. 35
* uncorrected energy: -8.2127 eV per atom
* total magnetic moment: 0.0 μB per formula unit
* V: 16.07 Å³ per atom
* E_form (uncorrected): 393 meV/atom

Unit cell a=2.829 b=2.829 c=8.601 alpha=90.00 beta=90.00 gamma=110.93
Positions (direct):
1 Mo 0.000 0.000 0.000
2 Mo 0.500 0.500 0.249
3 Ru 0.500 0.500 0.766
4 Se 0.000 0.000 0.503

---

# 6
MoRuSe2 | PBE-GGA | optimized geometry

Properties
* space-group type: No. 47
* uncorrected energy: -6.2177 eV per atom
* total magnetic moment: 0.0 μB per formula unit
* relative energy among the computed polymorphs: 0.720 eV per atom
* V: 17.08 Å³ per atom
* E_form (uncorrected): 551 meV/atom

Unit cell a=3.071 b=4.038 c=5.509 alpha=90.00 beta=90.00 gamma=90.00
Positions (direct):
1 Mo 0.000 0.000 0.000
2 Ru 0.500 0.000 0.500
3 Se 0.000 0.500 0.500
4 Se 0.500 0.500 0.000

---

> What is the E_form (uncorrected) in the sixth record?

551 meV/atom